GGA-PBE Er2C2S, relaxed; uncorrected energy = -7.30 eV/atom; M_tot = 0.00 μB per cell; E_form (uncorrected) = -0.96 eV per atom
1.0
6.852 -1.902 0.000
6.852 1.902 0.000
-1.757 0.000 6.409
Er C S
4 4 2
Cartesian
3.533 1.091 5.396 Er
7.535 1.091 4.217 Er
4.411 -1.091 2.192 Er
8.413 -1.091 1.013 Er
3.054 0.595 2.967 C
2.176 -0.595 6.171 C
9.770 0.595 0.237 C
8.892 -0.595 3.442 C
6.412 0.854 1.602 S
5.534 -0.854 4.807 S